Arrangement i

The following is a PBEsol calculation of NaH3Au after structural relaxation, from Alexandria.

D(E_F) (states/eV/f.u.): 0.00

Lattice parameters (Å, degrees): 3.499 5.575 7.438 101.54 102.01 107.21
Space group P1 (No. 1)
Inequivalent atoms, fractional coordinates:
Na 0.000 0.000 0.000 (multiplicity 1)
Na 0.010 0.509 0.502 (multiplicity 1)
H 0.071 0.048 0.546 (multiplicity 1)
H 0.325 0.346 0.271 (multiplicity 1)
H 0.490 0.874 0.123 (multiplicity 1)
H 0.500 0.113 0.865 (multiplicity 1)
H 0.684 0.652 0.731 (multiplicity 1)
H 0.902 0.953 0.450 (multiplicity 1)
Au 0.398 0.601 0.183 (multiplicity 1)
Au 0.602 0.392 0.812 (multiplicity 1)

---

Arrangement ii

The following is a PBEsol calculation of NaH3Au after structural relaxation, from Alexandria.

D(E_F) (states/eV/f.u.): 1.28

Lattice parameters (Å, degrees): 3.704 3.704 3.704 90.00 90.00 90.00
Space group Pm-3m (No. 221)
Inequivalent atoms, fractional coordinates:
Na 0.000 0.000 0.000 (multiplicity 1)
H 0.000 0.500 0.500 (multiplicity 3)
Au 0.500 0.500 0.500 (multiplicity 1)

---

Which structure loses on stability? arrangement i does.